An optimized crystal structure of NbTcTe2. Source: Alexandria, functional PBE.

## Properties
Energy   -6.274 eV/atom
N(E_F)   11.6 states/eV per cell
Calculated volume   266 Å³ per cell
Energy relative to the lowest polymorph listed for this composition   265 meV/atom
Raw formation energy   0.406 eV per atom

Cell lengths 3.3412, 3.3412, 27.5037 Å; angles 90.00, 90.00, 120.00 degrees
Space group R-3m (No. 166, hexagonal axes)
Symmetry-distinct sites (fractional):
1 Nb 0.0000 0.0000 0.0000 (multiplicity 3)
2 Tc 0.0000 0.0000 0.5000 (multiplicity 3)
3 Te 0.0000 0.0000 0.4071 (multiplicity 6)

An optimized crystal structure of Nb2Tc2Te. Source: Alexandria, functional PBE.

## Properties
Energy   -8.606 eV/atom
N(E_F)   10.3 states/eV per cell
Calculated volume   184 Å³ per cell
Energy relative to the lowest polymorph listed for this composition   0 meV/atom
Raw formation energy   0.197 eV per atom

Cell lengths 7.647, 7.647, 3.143 Å; angles 90.00, 90.00, 90.00 degrees
Space group P4/mbm (No. 127)
Symmetry-distinct sites (fractional):
1 Nb 0.150 0.350 0.000 (multiplicity 4)
2 Tc 0.136 0.636 0.500 (multiplicity 4)
3 Te 0.000 0.000 0.500 (multiplicity 2)

An optimized crystal structure of Nb2TcTe. Source: Alexandria, functional PBE.

## Properties
Energy   -7.896 eV/atom
N(E_F)   15.6 states/eV per cell
Calculated volume   311 Å³ per cell
Raw formation energy   0.516 eV per atom

Cell lengths 3.986, 3.986, 19.583 Å; angles 90.00, 90.00, 90.00 degrees
Space group I-42d (No. 122)
Symmetry-distinct sites (fractional):
1 Nb 0.246 0.250 0.125 (multiplicity 8)
2 Tc 0.000 0.000 0.500 (multiplicity 4)
3 Te 0.000 0.000 0.000 (multiplicity 4)

An optimized crystal structure of NbTcTe2. Source: Alexandria, functional PBE.

## Properties
Energy   -6.247 eV/atom
N(E_F)   20.2 states/eV per cell
Calculated volume   370 Å³ per cell
Energy relative to the lowest polymorph listed for this composition   293 meV/atom
Raw formation energy   0.433 eV per atom

Cell lengths 4.669, 4.669, 16.985 Å; angles 90.00, 90.00, 90.00 degrees
Space group I-42d (No. 122)
Symmetry-distinct sites (fractional):
1 Nb 0.000 0.000 0.000 (multiplicity 4)
2 Tc 0.000 0.000 0.500 (multiplicity 4)
3 Te 0.236 0.250 0.625 (multiplicity 8)

An optimized crystal structure of NbTcTe2. Source: Alexandria, functional PBE.

## Properties
Energy   -6.263 eV/atom
N(E_F)   12.8 states/eV per cell
Calculated volume   259 Å³ per cell
Energy relative to the lowest polymorph listed for this composition   276 meV/atom
Raw formation energy   0.417 eV per atom

Cell lengths 3.2570, 3.2570, 28.2461 Å; angles 90.00, 90.00, 120.00 degrees
Space group R-3m (No. 166, hexagonal axes)
Symmetry-distinct sites (fractional):
1 Nb 0.0000 0.0000 0.0000 (multiplicity 3)
2 Tc 0.0000 0.0000 0.5000 (multiplicity 3)
3 Te 0.0000 0.0000 0.0977 (multiplicity 6)

An optimized crystal structure of Nb2Tc2Te. Source: Alexandria, functional PBE.

## Properties
Energy   -8.473 eV/atom
N(E_F)   6.6 states/eV per cell
Calculated volume   202 Å³ per cell
Energy relative to the lowest polymorph listed for this composition   132 meV/atom
Raw formation energy   0.329 eV per atom

Cell lengths 4.301, 4.301, 10.899 Å; angles 90.00, 90.00, 90.00 degrees
Space group I4/mmm (No. 139)
Symmetry-distinct sites (fractional):
1 Nb 0.000 0.500 0.250 (multiplicity 4)
2 Tc 0.000 0.000 0.116 (multiplicity 4)
3 Te 0.000 0.000 0.500 (multiplicity 2)

An optimized crystal structure of NbTcTe2. Source: Alexandria, functional PBE.

## Properties
Energy   -6.539 eV/atom
N(E_F)   14.3 states/eV per cell
Calculated volume   305 Å³ per cell
Energy relative to the lowest polymorph listed for this composition   0 meV/atom
Raw formation energy   0.141 eV per atom

Cell lengths 6.731, 6.731, 6.731 Å; angles 90.00, 90.00, 90.00 degrees
Space group Fm-3m (No. 225)
Symmetry-distinct sites (fractional):
1 Nb 0.000 0.000 0.000 (multiplicity 4)
2 Tc 0.000 0.000 0.500 (multiplicity 4)
3 Te 0.250 0.250 0.250 (multiplicity 8)

An optimized crystal structure of NbTcTe3. Source: Alexandria, functional PBE.

## Properties
Energy   -6.177 eV/atom
N(E_F)   12.6 states/eV per cell
Calculated volume   530 Å³ per cell
Energy relative to the lowest polymorph listed for this composition   0 meV/atom
Raw formation energy   -0.205 eV per atom

Cell lengths 18.471, 3.204, 9.585 Å; angles 90.00, 110.76, 90.00 degrees
Space group C2/m (No. 12)
Symmetry-distinct sites (fractional):
1 Nb 0.060 0.000 0.204 (multiplicity 4)
2 Tc 0.068 0.500 0.965 (multiplicity 4)
3 Te 0.078 0.000 0.737 (multiplicity 4)
4 Te 0.145 0.500 0.454 (multiplicity 4)
5 Te 0.190 0.000 0.119 (multiplicity 4)

An optimized crystal structure of ThNbTc2. Source: Alexandria, functional PBE.

## Properties
Energy   -9.526 eV/atom
N(E_F)   3.3 states/eV per cell
Calculated volume   77 Å³ per cell
Energy of formation from the pure elements   0.029 eV per atom

Cell lengths 4.796, 4.796, 3.362 Å; angles 90.00, 90.00, 90.00 degrees
Space group P4/mmm (No. 123)
Symmetry-distinct sites (fractional):
1 Th 0.000 0.000 0.000 (multiplicity 1)
2 Nb 0.500 0.500 0.000 (multiplicity 1)
3 Tc 0.000 0.500 0.500 (multiplicity 2)

An optimized crystal structure of ThNbTc. Source: Alexandria, functional PBE.

## Properties
Energy   -9.258 eV/atom
N(E_F)   7.8 states/eV per cell
Calculated volume   128 Å³ per cell
Energy of formation from the pure elements   0.028 eV per atom

Cell lengths 3.304, 3.304, 11.728 Å; angles 90.00, 90.00, 90.00 degrees
Space group I4mm (No. 107)
Symmetry-distinct sites (fractional):
1 Th 0.000 0.000 0.000 (multiplicity 2)
2 Nb 0.000 0.000 0.296 (multiplicity 2)
3 Tc 0.000 0.000 0.682 (multiplicity 2)

An optimized crystal structure of ThNbTc2. Source: Alexandria, functional PBE.

## Properties
Energy   -9.599 eV/atom
N(E_F)   3.9 states/eV per cell
Calculated volume   77 Å³ per cell
Energy of formation from the pure elements   -0.043 eV per atom

Cell lengths 3.305, 3.305, 7.027 Å; angles 90.00, 90.00, 90.00 degrees
Space group P4/mmm (No. 123)
Symmetry-distinct sites (fractional):
1 Th 0.000 0.000 0.000 (multiplicity 1)
2 Nb 0.000 0.000 0.500 (multiplicity 1)
3 Tc 0.500 0.500 0.283 (multiplicity 2)

An optimized crystal structure of ThNbTc4. Source: Alexandria, functional PBE.

## Properties
Energy   -9.773 eV/atom
N(E_F)   37.7 states/eV per cell
Calculated volume   434 Å³ per cell
Energy of formation from the pure elements   0.053 eV per atom

Cell lengths 7.570, 7.570, 7.570 Å; angles 90.00, 90.00, 90.00 degrees
Space group F-43m (No. 216)
Symmetry-distinct sites (fractional):
1 Th 0.000 0.000 0.000 (multiplicity 4)
2 Nb 0.250 0.250 0.250 (multiplicity 4)
3 Tc 0.124 0.124 0.624 (multiplicity 16)

An optimized crystal structure of Ti4NbTc. Source: Alexandria, functional PBE.

## Properties
Energy   -8.856 eV/atom
N(E_F)   14.9 states/eV per cell
Calculated volume   199 Å³ per cell
Energy of formation from the pure elements   -0.187 eV per atom
Energy relative to the lowest polymorph listed for this composition   0 meV/atom

Cell lengths 9.591, 4.497, 5.641 Å; angles 90.00, 125.20, 90.00 degrees
Space group C2/m (No. 12)
Symmetry-distinct sites (fractional):
1 Ti 0.155 0.000 0.307 (multiplicity 4)
2 Ti 0.187 0.000 0.829 (multiplicity 4)
3 Nb 0.000 0.500 0.500 (multiplicity 2)
4 Tc 0.000 0.500 0.000 (multiplicity 2)

An optimized crystal structure of Ti2NbTc2. Source: Alexandria, functional PBE.

## Properties
Energy   -9.714 eV/atom
N(E_F)   7.7 states/eV per cell
Calculated volume   158 Å³ per cell
Energy of formation from the pure elements   -0.396 eV per atom
Energy relative to the lowest polymorph listed for this composition   0 meV/atom

Cell lengths 3.157, 4.513, 11.220 Å; angles 90.00, 98.14, 90.00 degrees
Space group P2_1/m (No. 11)
Symmetry-distinct sites (fractional):
1 Ti 0.048 0.250 0.096 (multiplicity 2)
2 Ti 0.242 0.250 0.485 (multiplicity 2)
3 Nb 0.146 0.750 0.292 (multiplicity 2)
4 Tc 0.350 0.750 0.701 (multiplicity 2)
5 Tc 0.451 0.250 0.902 (multiplicity 2)

An optimized crystal structure of Ti4NbTc5. Source: Alexandria, functional PBE.

## Properties
Energy   -9.819 eV/atom
N(E_F)   7.3 states/eV per cell
Calculated volume   152 Å³ per cell
Energy of formation from the pure elements   -0.471 eV per atom

Cell lengths 3.126, 3.126, 15.600 Å; angles 90.00, 90.00, 90.00 degrees
Space group P4/mmm (No. 123)
Symmetry-distinct sites (fractional):
1 Ti 0.000 0.000 0.099 (multiplicity 2)
2 Ti 0.000 0.000 0.297 (multiplicity 2)
3 Nb 0.000 0.000 0.500 (multiplicity 1)
4 Tc 0.500 0.500 0.000 (multiplicity 1)
5 Tc 0.500 0.500 0.198 (multiplicity 2)
6 Tc 0.500 0.500 0.397 (multiplicity 2)

An optimized crystal structure of TiNb2Tc3. Source: Alexandria, functional PBE.

## Properties
Energy   -10.280 eV/atom
N(E_F)   7.3 states/eV per cell
Calculated volume   190 Å³ per cell
Energy of formation from the pure elements   -0.424 eV per atom
Energy relative to the lowest polymorph listed for this composition   0 meV/atom

Cell lengths 4.475, 13.423, 3.167 Å; angles 90.00, 90.00, 90.00 degrees
Space group Cmmm (No. 65)
Symmetry-distinct sites (fractional):
1 Ti 0.000 0.000 0.000 (multiplicity 2)
2 Nb 0.000 0.335 0.000 (multiplicity 4)
3 Tc 0.000 0.166 0.500 (multiplicity 4)
4 Tc 0.000 0.500 0.500 (multiplicity 2)

An optimized crystal structure of Ti3Nb4Tc2. Source: Alexandria, functional PBE.

## Properties
Energy   -9.562 eV/atom
N(E_F)   25.0 states/eV per cell
Calculated volume   302 Å³ per cell
Energy of formation from the pure elements   -0.151 eV per atom

Cell lengths 13.813, 3.183, 7.184 Å; angles 90.00, 107.24, 90.00 degrees
Space group C2/m (No. 12)
Symmetry-distinct sites (fractional):
1 Ti 0.000 0.000 0.000 (multiplicity 2)
2 Ti 0.117 0.000 0.694 (multiplicity 4)
3 Nb 0.054 0.500 0.338 (multiplicity 4)
4 Nb 0.217 0.000 0.322 (multiplicity 4)
5 Tc 0.168 0.500 0.002 (multiplicity 4)

An optimized crystal structure of TiNb2Tc. Source: Alexandria, functional PBE.

## Properties
Energy   -9.223 eV/atom
N(E_F)   11.2 states/eV per cell
Calculated volume   290 Å³ per cell
Energy of formation from the pure elements   0.377 eV per atom
Energy relative to the lowest polymorph listed for this composition   640 meV/atom

Cell lengths 7.257, 7.257, 5.500 Å; angles 90.00, 90.00, 90.00 degrees
Space group I-42d (No. 122)
Symmetry-distinct sites (fractional):
1 Ti 0.000 0.000 0.000 (multiplicity 4)
2 Nb 0.226 0.250 0.625 (multiplicity 8)
3 Tc 0.000 0.000 0.500 (multiplicity 4)

An optimized crystal structure of Ti3Nb2Tc. Source: Alexandria, functional PBE.

## Properties
Energy   -9.037 eV/atom
N(E_F)   16.7 states/eV per cell
Calculated volume   207 Å³ per cell
Energy of formation from the pure elements   -0.005 eV per atom

Cell lengths 4.777, 5.448, 8.031 Å; angles 90.00, 96.94, 90.00 degrees
Space group P2_1/m (No. 11)
Symmetry-distinct sites (fractional):
1 Ti 0.153 0.250 0.076 (multiplicity 2)
2 Ti 0.292 0.510 0.745 (multiplicity 4)
3 Nb 0.222 0.750 0.353 (multiplicity 2)
4 Nb 0.231 0.250 0.435 (multiplicity 2)
5 Tc 0.362 0.750 0.033 (multiplicity 2)

An optimized crystal structure of Ti2NbTc3. Source: Alexandria, functional PBE.

## Properties
Energy   -9.953 eV/atom
N(E_F)   5.3 states/eV per cell
Calculated volume   93 Å³ per cell
Energy of formation from the pure elements   -0.460 eV per atom
Energy relative to the lowest polymorph listed for this composition   8 meV/atom

Cell lengths 3.136, 3.136, 9.413 Å; angles 90.00, 90.00, 90.00 degrees
Space group P4/mmm (No. 123)
Symmetry-distinct sites (fractional):
1 Ti 0.000 0.000 0.163 (multiplicity 2)
2 Nb 0.000 0.000 0.500 (multiplicity 1)
3 Tc 0.500 0.500 0.000 (multiplicity 1)
4 Tc 0.500 0.500 0.330 (multiplicity 2)